Compound: TbDy3F
Source: Alexandria via LeMat-Bulk
Functional: PBE
Structure: optimized geometry

The structure in CIF format:
```
data_TbDy3F
_chemical_formula_sum 'Tb1 Dy3 F1'
_space_group_name_H-M_alt 'P m -3 m'
_space_group_IT_number 221
_space_group_name_Hall '-P 4 2 3'
_cell_length_a 5.0336
_cell_length_b 5.0336
_cell_length_c 5.0336
_cell_angle_alpha 90.00
_cell_angle_beta 90.00
_cell_angle_gamma 90.00
loop_
_atom_site_label
_atom_site_type_symbol
_atom_site_fract_x
_atom_site_fract_y
_atom_site_fract_z
Tb1 Tb 0.0000 0.0000 0.0000
Dy1 Dy 0.0000 0.5000 0.5000
F1 F 0.5000 0.5000 0.5000
```

Calculated values
calculated volume	25.51	Å³ per atom
raw total energy	-0.1833	Ha/atom
DOS at the Fermi energy	5.27	states/eV/f.u.